DFT (PBEsol) results for an optimized crystal structure of RePt2Rh.

Lattice parameters (Å, degrees): 2.717 2.717 7.800 90.00 90.00 90.00
Fractional positions:
Re1 0.000 0.000 0.000
Pt1 0.500 0.500 0.246
Pt2 0.500 0.500 0.754
Rh1 0.000 0.000 0.500

Properties
D(E_F): 4.673 states/eV/f.u.
ΔH_f (0 K): -0.308 eV per formula unit
symmetry: P4/mmm
VASP energy: -8.927 eV/atom
ΔE to the lowest computed polymorph: 71 meV/atom

DFT (PBEsol) results for an optimized crystal structure of RePtRh2.

Lattice parameters (Å, degrees): 2.699 3.812 5.456 90.00 90.00 90.00
Fractional positions:
Re1 0.000 0.000 0.000
Pt1 0.000 0.000 0.500
Rh1 0.500 0.500 0.240
Rh2 0.500 0.500 0.760

Properties
D(E_F): 3.639 states/eV/f.u.
ΔH_f (0 K): -0.548 eV per formula unit
symmetry: Pmmm
VASP energy: -9.280 eV/atom
ΔE to the lowest computed polymorph: 11 meV/atom

DFT (PBEsol) results for an optimized crystal structure of RePt2Rh.

Lattice parameters (Å, degrees): 2.718 3.865 5.477 90.00 90.00 90.00
Fractional positions:
Re1 0.000 0.000 0.000
Pt1 0.000 0.000 0.489
Pt2 0.500 0.500 0.751
Rh1 0.500 0.500 0.230

Properties
D(E_F): 2.889 states/eV/f.u.
ΔH_f (0 K): -0.522 eV per formula unit
symmetry: Pmm2
VASP energy: -8.980 eV/atom
ΔE to the lowest computed polymorph: 18 meV/atom

DFT (PBEsol) results for an optimized crystal structure of RePtRh2.

Lattice parameters (Å, degrees): 9.025 9.025 9.025 17.25 17.25 17.25
Fractional positions:
Re1 0.000 0.000 0.000
Pt1 0.751 0.751 0.751
Rh1 0.253 0.253 0.253
Rh2 0.503 0.503 0.503

Properties
D(E_F): 4.739 states/eV/f.u.
ΔH_f (0 K): -0.197 eV per formula unit
symmetry: R3m
VASP energy: -9.192 eV/atom
ΔE to the lowest computed polymorph: 99 meV/atom

DFT (PBEsol) results for an optimized crystal structure of RePtRh.

Lattice parameters (Å, degrees): 6.139 6.139 6.139 154.46 154.46 36.43
Fractional positions:
Re1 0.000 0.000 0.000
Pt1 0.333 0.333 0.000
Rh1 0.654 0.654 0.000

Properties
D(E_F): 2.931 states/eV/f.u.
ΔH_f (0 K): -0.489 eV per formula unit
symmetry: I4mm
VASP energy: -9.641 eV/atom
ΔE to the lowest computed polymorph: 23 meV/atom

DFT (PBEsol) results for an optimized crystal structure of RePtRh.

Lattice parameters (Å, degrees): 2.721 2.721 6.691 90.00 90.00 120.00
Fractional positions:
Re1 0.000 0.000 0.000
Pt1 0.667 0.333 0.338
Rh1 0.333 0.667 0.685

Properties
D(E_F): 3.047 states/eV/f.u.
ΔH_f (0 K): -0.279 eV per formula unit
symmetry: P3m1
VASP energy: -9.571 eV/atom
ΔE to the lowest computed polymorph: 93 meV/atom

DFT (PBEsol) results for an optimized crystal structure of RePt2Rh.

Lattice parameters (Å, degrees): 4.777 4.777 4.777 132.94 132.94 68.75
Fractional positions:
Re1 0.000 0.000 0.000
Pt1 0.250 0.750 0.500
Pt2 0.750 0.250 0.500
Rh1 0.500 0.500 0.000

Properties
D(E_F): 3.903 states/eV/f.u.
ΔH_f (0 K): -0.278 eV per formula unit
symmetry: I4/mmm
VASP energy: -8.919 eV/atom
ΔE to the lowest computed polymorph: 79 meV/atom

DFT (PBEsol) results for an optimized crystal structure of RePtRh2.

Lattice parameters (Å, degrees): 2.693 3.863 5.396 90.00 90.00 90.00
Fractional positions:
Re1 0.000 0.000 0.000
Pt1 0.500 0.500 0.743
Rh1 0.000 0.000 0.485
Rh2 0.500 0.500 0.233

Properties
D(E_F): 4.331 states/eV/f.u.
ΔH_f (0 K): -0.387 eV per formula unit
symmetry: Pmm2
VASP energy: -9.240 eV/atom
ΔE to the lowest computed polymorph: 51 meV/atom

> D(E_F) of number 8 (RePtRh2)?

4.331 states/eV/f.u.

> D(E_F) of number 8 (RePtRh2)?

4.331 states/eV/f.u.